Material: BeP2Br
Method: DFT, PBE-GGA
State: relaxed

Properties
SG: P4/mmm, No. 123
magnetization: 0.000 μB/cell
raw formation energy: 1.064 eV per atom
final energy: -2.99 eV/atom

abc: 4.7707 4.7707 2.8997
angles: 90.00 90.00 90.00
Closest atoms and distances in Å follow each position.
Element x y z (fractional)
1 Be 0.0000 0.0000 0.0000  8 P 2.79, 2 Be 2.90
2 P 0.0000 0.5000 0.5000  4 Br 2.79, 4 Be 2.79, 2 P 2.90
3 P 0.5000 0.0000 0.5000  4 Br 2.79, 4 Be 2.79, 2 P 2.90
4 Br 0.5000 0.5000 0.0000  8 P 2.79, 2 Br 2.90

Material: Nd5Sm4Cd
Method: DFT, PBE-GGA
State: relaxed

Properties
SG: P4/mmm, No. 123
magnetization: 0.000 μB/cell
formation energy from the elements: 0.041 eV/atom
final energy: -4.32 eV/atom

abc: 4.2243 4.2243 18.6261
angles: 90.00 90.00 90.00
Closest atoms and distances in Å follow each position.
Element x y z (fractional)
1 Nd 0.0000 0.0000 0.0000  8 Sm 3.53, 2 Nd 3.76
2 Nd 0.0000 0.0000 0.2018  8 Sm 3.50-3.52, 2 Nd 3.76-3.85
3 Nd 0.0000 0.0000 0.4086  1 Nd 3.40, 4 Cd 3.44, 4 Sm 3.61
4 Nd 0.0000 0.0000 0.5914  1 Nd 3.40, 4 Cd 3.44, 4 Sm 3.61
5 Nd 0.0000 0.0000 0.7982  8 Sm 3.50-3.52, 2 Nd 3.76-3.85
6 Sm 0.5000 0.5000 0.1014  8 Nd 3.52-3.53, 2 Sm 3.70-3.78
7 Sm 0.5000 0.5000 0.3001  8 Nd 3.50-3.61, 1 Sm 3.70, 1 Cd 3.72
8 Sm 0.5000 0.5000 0.6999  8 Nd 3.50-3.61, 1 Sm 3.70, 1 Cd 3.72
9 Sm 0.5000 0.5000 0.8986  8 Nd 3.52-3.53, 2 Sm 3.70-3.78
10 Cd 0.5000 0.5000 0.5000  8 Nd 3.44, 2 Sm 3.72

Material: TbZnHgRh
Method: DFT, PBE-GGA
State: relaxed

Properties
SG: F-43m, No. 216
magnetization: 0.000 μB/cell
formation energy from the elements: -0.337 eV/atom
final energy: -3.73 eV/atom

abc: 4.8012 4.8012 4.8012
angles: 60.00 60.00 60.00
Closest atoms and distances in Å follow each position.
Element x y z (fractional)
1 Tb 0.0000 0.0000 0.0000  4 Hg 2.94, 4 Rh 2.94
2 Zn 0.5000 0.5000 0.5000  4 Hg 2.94, 4 Rh 2.94
3 Hg 0.7500 0.7500 0.7500  4 Tb 2.94, 4 Zn 2.94
4 Rh 0.2500 0.2500 0.2500  4 Tb 2.94, 4 Zn 2.94

Material: MnSe2Cl
Method: DFT, PBE-GGA
State: relaxed

Properties
SG: P4mm, No. 99
magnetization: 4.791 μB/cell
raw formation energy: -0.154 eV per atom
final energy: -4.65 eV/atom

abc: 3.7341 3.7341 7.9435
angles: 90.00 90.00 90.00
Closest atoms and distances in Å follow each position.
Element x y z (fractional)
1 Mn 0.0000 0.0000 0.0000  1 Se 2.50, 4 Cl 2.76
2 Se 0.0000 0.0000 0.3149  1 Mn 2.50, 4 Se 2.66
3 Se 0.5000 0.5000 0.3584  4 Se 2.66
4 Cl 0.5000 0.5000 0.9006  4 Mn 2.76

Material: LiHgAs2
Method: DFT, PBE-GGA
State: relaxed

Properties
SG: P4mm, No. 99
magnetization: 0.000 μB/cell
formation energy from the elements: -0.089 eV/atom
final energy: -2.97 eV/atom

abc: 3.4623 3.4623 7.3096
angles: 90.00 90.00 90.00
Closest atoms and distances in Å follow each position.
Element x y z (fractional)
1 Li 0.0000 0.0000 0.0000  5 As 2.79-3.01
2 Hg 0.5000 0.5000 0.7312  4 Li 3.14, 4 Hg 3.46
3 As 0.0000 0.0000 0.3820  4 As 2.66, 1 Li 2.79
4 As 0.5000 0.5000 0.2388  4 As 2.66

Material: LaHo3Er6Sc2
Method: DFT, PBE-GGA
State: relaxed

Properties
SG: C2/m, No. 12
magnetization: 0.002 μB/cell
formation energy from the elements: 0.041 eV/atom
final energy: -4.85 eV/atom

abc: 6.0380 6.0380 11.5984
angles: 94.95 94.95 119.97
Closest atoms and distances in Å follow each position.
Element x y z (fractional)
1 La 0.0000 0.0000 0.0000  6 Sc 3.49, 6 Er 3.49
2 Ho 0.1674 0.8326 0.5000  6 Ho 3.48-3.50, 6 Er 3.49-3.51
3 Ho 0.5000 0.5000 0.5000  6 Ho 3.48-3.49, 6 Er 3.50-3.51
4 Ho 0.8326 0.1674 0.5000  6 Ho 3.48-3.50, 6 Er 3.49-3.51
5 Er 0.0839 0.4203 0.2486  6 Er 3.47-3.52, 2 Sc 3.47-3.48, 3 Ho 3.49-3.51, 1 La 3.49
6 Er 0.2529 0.2529 0.7513  6 Er 3.47-3.52, 2 Sc 3.48, 1 La 3.49, 3 Ho 3.50-3.51
7 Er 0.4203 0.0839 0.2486  6 Er 3.47-3.52, 2 Sc 3.47-3.48, 3 Ho 3.49-3.51, 1 La 3.49
8 Er 0.5797 0.9161 0.7514  6 Er 3.47-3.52, 2 Sc 3.47-3.48, 3 Ho 3.49-3.51, 1 La 3.49
9 Er 0.7471 0.7471 0.2487  6 Er 3.47-3.52, 2 Sc 3.48, 1 La 3.49, 3 Ho 3.50-3.51
10 Er 0.9161 0.5797 0.7514  6 Er 3.47-3.52, 2 Sc 3.47-3.48, 3 Ho 3.49-3.51, 1 La 3.49
11 Sc 0.3334 0.6666 0.0000  6 Er 3.47-3.48, 3 Sc 3.48-3.49, 3 La 3.49
12 Sc 0.6666 0.3334 0.0000  6 Er 3.47-3.48, 3 Sc 3.48-3.49, 3 La 3.49

Material: Sr2Sn4HgPt3
Method: DFT, PBE-GGA
State: relaxed

Properties
SG: P-4m2, No. 115
magnetization: 0.000 μB/cell
formation energy from the elements: -0.669 eV/atom
final energy: -4.45 eV/atom

abc: 4.7394 4.7394 10.9630
angles: 90.00 90.00 90.00
Closest atoms and distances in Å follow each position.
Element x y z (fractional)
1 Sr 0.0000 0.5000 0.2473  8 Sn 3.56-3.65, 2 Hg 3.60, 6 Pt 3.60-3.65
2 Sr 0.5000 0.0000 0.7527  8 Sn 3.56-3.65, 2 Hg 3.60, 6 Pt 3.60-3.65
3 Sn 0.0000 0.0000 0.5000  4 Pt 2.71
4 Sn 0.0000 0.5000 0.8614  3 Pt 2.64-2.81, 2 Hg 2.81
5 Sn 0.5000 0.0000 0.1386  3 Pt 2.64-2.81, 2 Hg 2.81
6 Sn 0.5000 0.5000 0.5000  4 Pt 2.71
7 Hg 0.5000 0.5000 0.0000  4 Sn 2.81
8 Pt 0.0000 0.0000 0.0000  4 Sn 2.81
9 Pt 0.0000 0.5000 0.6205  5 Sn 2.64-2.71
10 Pt 0.5000 0.0000 0.3795  5 Sn 2.64-2.71

Material: CePr4S4
Method: DFT, PBE-GGA
State: relaxed

Properties
SG: I4/m, No. 87
magnetization: 1.101 μB/cell
raw formation energy: -1.746 eV per atom
final energy: -6.36 eV/atom

abc: 7.0459 7.0459 7.0459
angles: 99.73 99.73 131.44
Closest atoms and distances in Å follow each position.
Element x y z (fractional)
1 Ce 0.0000 0.0000 0.0000  4 S 2.85
2 Pr 0.1975 0.6010 0.7984  5 S 2.84-2.90
3 Pr 0.3990 0.1975 0.5965  5 S 2.84-2.90
4 Pr 0.6010 0.8025 0.4035  5 S 2.84-2.90
5 Pr 0.8025 0.3990 0.2016  5 S 2.84-2.90
6 S 0.0982 0.2976 0.3957  5 Pr 2.84-2.90, 1 Ce 2.85
7 S 0.2976 0.9018 0.1994  5 Pr 2.84-2.90, 1 Ce 2.85
8 S 0.7024 0.0982 0.8006  5 Pr 2.84-2.90, 1 Ce 2.85
9 S 0.9018 0.7024 0.6043  5 Pr 2.84-2.90, 1 Ce 2.85

Material: MnFe2Si
Method: DFT, PBE-GGA
State: relaxed

Properties
SG: R-3m, No. 166
magnetization: 2.416 μB/cell
raw formation energy: -0.037 eV per atom
final energy: -7.92 eV/atom

abc: 7.8486 7.8486 7.8486
angles: 18.75 18.75 18.75
Closest atoms and distances in Å follow each position.
Element x y z (fractional)
1 Mn 0.0000 0.0000 0.0000  6 Fe 2.45, 6 Mn 2.56
2 Fe 0.2490 0.2490 0.2490  3 Si 2.41, 3 Mn 2.45, 6 Fe 2.56
3 Fe 0.7510 0.7510 0.7510  3 Si 2.41, 3 Mn 2.45, 6 Fe 2.56
4 Si 0.5000 0.5000 0.5000  6 Fe 2.41, 6 Si 2.56

Material: GaGeTe2N
Method: DFT, PBE-GGA
State: relaxed

Properties
SG: P4/mmm, No. 123
magnetization: 0.002 μB/cell
raw formation energy: 0.638 eV per atom
final energy: -3.81 eV/atom

abc: 5.8156 5.8156 3.5046
angles: 90.00 90.00 90.00
Closest atoms and distances in Å follow each position.
Element x y z (fractional)
1 Ga 0.0000 0.0000 0.0000  2 N 1.75
2 Ge 0.5000 0.5000 0.5000  8 Te 3.39, 2 Ge 3.50
3 Te 0.0000 0.5000 0.0000  2 Ga 2.91
4 Te 0.5000 0.0000 0.0000  2 Ga 2.91
5 N 0.0000 0.0000 0.5000  2 Ga 1.75

Material: HfCd2Ga
Method: DFT, PBE-GGA
State: relaxed

Properties
SG: P4/mmm, No. 123
magnetization: 0.000 μB/cell
formation energy from the elements: -0.142 eV/atom
final energy: -3.85 eV/atom

abc: 4.1714 4.1714 4.5296
angles: 90.00 90.00 90.00
Closest atoms and distances in Å follow each position.
Element x y z (fractional)
1 Hf 0.0000 0.0000 0.0000  4 Ga 2.95, 8 Cd 3.08
2 Cd 0.0000 0.5000 0.5000  4 Cd 2.95, 4 Hf 3.08, 4 Ga 3.08
3 Cd 0.5000 0.0000 0.5000  4 Cd 2.95, 4 Hf 3.08, 4 Ga 3.08
4 Ga 0.5000 0.5000 0.0000  4 Hf 2.95, 8 Cd 3.08

Material: CsAl2HgPd
Method: DFT, PBE-GGA
State: relaxed

Properties
SG: P4/mmm, No. 123
magnetization: 0.000 μB/cell
formation energy from the elements: 1.423 eV/atom
final energy: -1.34 eV/atom

abc: 6.4276 6.4276 5.3676
angles: 90.00 90.00 90.00
Closest atoms and distances in Å follow each position.
Element x y z (fractional)
1 Cs 0.0000 0.0000 0.0000  2 Pd 2.68
2 Al 0.0000 0.5000 0.0000  2 Cs 3.21
3 Al 0.5000 0.0000 0.0000  2 Cs 3.21
4 Hg 0.5000 0.5000 0.5000  8 Al 4.19, 4 Pd 4.55
5 Pd 0.0000 0.0000 0.5000  2 Cs 2.68

Material: AcLaMg4
Method: DFT, PBE-GGA
State: relaxed

Properties
SG: F-43m, No. 216
magnetization: 0.000 μB/cell
formation energy from the elements: -0.127 eV/atom
final energy: -2.70 eV/atom

abc: 6.2828 6.2828 6.2828
angles: 60.00 60.00 60.00
Closest atoms and distances in Å follow each position.
Element x y z (fractional)
1 Ac 0.0000 0.0000 0.0000  12 Mg 3.68, 4 La 3.85
2 La 0.7500 0.7500 0.7500  12 Mg 3.68, 4 Ac 3.85
3 Mg 0.3755 0.3755 0.3755  6 Mg 3.13-3.15
4 Mg 0.3755 0.3755 0.8735  6 Mg 3.13-3.15
5 Mg 0.3755 0.8735 0.3755  6 Mg 3.13-3.15
6 Mg 0.8735 0.3755 0.3755  6 Mg 3.13-3.15

Material: Rb5TcO5
Method: DFT, PBE-GGA
State: relaxed

Properties
SG: C2, No. 5
magnetization: 1.257 μB/cell
raw formation energy: -1.309 eV per atom
final energy: -4.94 eV/atom

abc: 6.5909 6.5909 8.0081
angles: 97.81 97.81 56.49
Closest atoms and distances in Å follow each position.
Element x y z (fractional)
1 Rb 0.0000 0.0000 0.0000  4 O 2.93-3.19
2 Rb 0.3287 0.3121 0.6528  4 O 2.78-2.96
3 Rb 0.3444 0.3324 0.2354  3 O 2.73-2.80
4 Rb 0.6676 0.6556 0.7646  3 O 2.73-2.80
5 Rb 0.6879 0.6713 0.3472  4 O 2.78-2.96
6 Tc 0.0443 0.9557 0.5000  5 O 1.84-1.98
7 O 0.0016 0.1750 0.6829  1 Tc 1.84
8 O 0.1785 0.0909 0.3765  1 Tc 1.98
9 O 0.3415 0.6585 0.5000  1 Tc 1.85
10 O 0.8250 0.9984 0.3171  1 Tc 1.84
11 O 0.9091 0.8215 0.6235  1 Tc 1.98

Material: Er3Tl5S12
Method: DFT, PBE-GGA
State: relaxed

Properties
SG: Ia-3d, No. 230
magnetization: 0.000 μB/cell
raw formation energy: -0.717 eV per atom
final energy: -4.47 eV/atom

abc: 13.7756 13.7756 13.7756
angles: 109.47 109.47 109.47
Closest atoms and distances in Å follow each position.
Element x y z (fractional)
1 Er 0.1250 0.2500 0.3750  8 S 2.94
2 Er 0.1250 0.3750 0.7500  8 S 2.94
3 Er 0.2500 0.3750 0.1250  8 S 2.94
4 Er 0.2500 0.8750 0.6250  8 S 2.94
5 Er 0.3750 0.1250 0.2500  8 S 2.94
6 Er 0.3750 0.7500 0.1250  8 S 2.94
7 Er 0.6250 0.2500 0.8750  8 S 2.94
8 Er 0.6250 0.8750 0.7500  8 S 2.94
9 Er 0.7500 0.1250 0.3750  8 S 2.94
10 Er 0.7500 0.6250 0.8750  8 S 2.94
11 Er 0.8750 0.6250 0.2500  8 S 2.94
12 Er 0.8750 0.7500 0.6250  8 S 2.94
13 Tl 0.0000 0.0000 0.0000  6 S 2.70
14 Tl 0.0000 0.0000 0.5000  6 S 2.70
15 Tl 0.0000 0.5000 0.0000  6 S 2.70
16 Tl 0.0000 0.5000 0.5000  6 S 2.70
17 Tl 0.1250 0.7500 0.8750  4 S 2.53
18 Tl 0.1250 0.8750 0.2500  4 S 2.53
19 Tl 0.2500 0.1250 0.8750  4 S 2.53
20 Tl 0.2500 0.6250 0.3750  4 S 2.53
21 Tl 0.3750 0.2500 0.6250  4 S 2.53
22 Tl 0.3750 0.6250 0.7500  4 S 2.53
23 Tl 0.5000 0.0000 0.0000  6 S 2.70
24 Tl 0.5000 0.0000 0.5000  6 S 2.70
25 Tl 0.5000 0.5000 0.0000  6 S 2.70
26 Tl 0.5000 0.5000 0.5000  6 S 2.70
27 Tl 0.6250 0.3750 0.2500  4 S 2.53
28 Tl 0.6250 0.7500 0.3750  4 S 2.53
29 Tl 0.7500 0.3750 0.6250  4 S 2.53
30 Tl 0.7500 0.8750 0.1250  4 S 2.53
31 Tl 0.8750 0.1250 0.7500  4 S 2.53
32 Tl 0.8750 0.2500 0.1250  4 S 2.53
33 S 0.0508 0.2227 0.1367  2 Tl 2.53-2.70
34 S 0.0508 0.3281 0.9141  2 Tl 2.53-2.70
35 S 0.0859 0.6367 0.4140  2 Tl 2.53-2.70
36 S 0.0860 0.7227 0.6719  2 Tl 2.53-2.70
37 S 0.0860 0.8633 0.4141  2 Tl 2.53-2.70
38 S 0.0859 0.9492 0.6719  2 Tl 2.53-2.70
39 S 0.1367 0.0508 0.2227  2 Tl 2.53-2.70
40 S 0.1367 0.5859 0.9140  2 Tl 2.53-2.70
41 S 0.1719 0.2227 0.5860  2 Tl 2.53-2.70
42 S 0.1719 0.4492 0.5859  2 Tl 2.53-2.70
43 S 0.2227 0.1367 0.0508  2 Tl 2.53-2.70
44 S 0.2227 0.5860 0.1719  2 Tl 2.53-2.70
45 S 0.2773 0.3281 0.9140  2 Tl 2.53-2.70
46 S 0.2773 0.4492 0.3633  2 Tl 2.53-2.70
47 S 0.3281 0.9141 0.0508  2 Tl 2.53-2.70
48 S 0.3281 0.9140 0.2773  2 Tl 2.53-2.70
49 S 0.3633 0.2773 0.4492  2 Tl 2.53-2.70
50 S 0.3633 0.5860 0.9141  2 Tl 2.53-2.70
51 S 0.4140 0.0859 0.6367  2 Tl 2.53-2.70
52 S 0.4141 0.0860 0.8633  2 Tl 2.53-2.70
53 S 0.4141 0.8281 0.5508  2 Tl 2.53-2.70
54 S 0.4140 0.8281 0.7773  2 Tl 2.53-2.70
55 S 0.4492 0.3633 0.2773  2 Tl 2.53-2.70
56 S 0.4492 0.5859 0.1719  2 Tl 2.53-2.70
57 S 0.5508 0.4141 0.8281  2 Tl 2.53-2.70
58 S 0.5508 0.6367 0.7227  2 Tl 2.53-2.70
59 S 0.5860 0.1719 0.2227  2 Tl 2.53-2.70
60 S 0.5859 0.1719 0.4492  2 Tl 2.53-2.70
61 S 0.5859 0.9140 0.1367  2 Tl 2.53-2.70
62 S 0.5860 0.9141 0.3633  2 Tl 2.53-2.70
63 S 0.6367 0.4140 0.0859  2 Tl 2.53-2.70
64 S 0.6367 0.7227 0.5508  2 Tl 2.53-2.70
65 S 0.6719 0.0860 0.7227  2 Tl 2.53-2.70
66 S 0.6719 0.0859 0.9492  2 Tl 2.53-2.70
67 S 0.7227 0.5508 0.6367  2 Tl 2.53-2.70
68 S 0.7227 0.6719 0.0860  2 Tl 2.53-2.70
69 S 0.7773 0.4140 0.8281  2 Tl 2.53-2.70
70 S 0.7773 0.8633 0.9492  2 Tl 2.53-2.70
71 S 0.8281 0.5508 0.4141  2 Tl 2.53-2.70
72 S 0.8281 0.7773 0.4140  2 Tl 2.53-2.70
73 S 0.8633 0.4141 0.0860  2 Tl 2.53-2.70
74 S 0.8633 0.9492 0.7773  2 Tl 2.53-2.70
75 S 0.9141 0.0508 0.3281  2 Tl 2.53-2.70
76 S 0.9140 0.1367 0.5859  2 Tl 2.53-2.70
77 S 0.9140 0.2773 0.3281  2 Tl 2.53-2.70
78 S 0.9141 0.3633 0.5860  2 Tl 2.53-2.70
79 S 0.9492 0.6719 0.0859  2 Tl 2.53-2.70
80 S 0.9492 0.7773 0.8633  2 Tl 2.53-2.70

Material: BeNb2Te
Method: DFT, PBE-GGA
State: relaxed

Properties
SG: I-42d, No. 122
magnetization: 0.000 μB/cell
raw formation energy: 0.895 eV per atom
final energy: -5.86 eV/atom

abc: 7.4401 7.4401 7.4401
angles: 137.70 137.70 61.36
Closest atoms and distances in Å follow each position.
Element x y z (fractional)
1 Be 0.0000 0.0000 0.0000  4 Nb 2.25
2 Be 0.7500 0.2500 0.5000  4 Nb 2.25
3 Nb 0.0312 0.6250 0.9062  2 Be 2.25
4 Nb 0.3750 0.2812 0.4062  2 Be 2.25
5 Nb 0.7188 0.1250 0.0938  2 Be 2.25
6 Nb 0.8750 0.9688 0.5938  2 Be 2.25
7 Te 0.2500 0.7500 0.5000  4 Nb 2.79
8 Te 0.5000 0.5000 0.0000  4 Nb 2.79

Material: Be3SnSe
Method: DFT, PBE-GGA
State: relaxed

Properties
SG: Pm-3m, No. 221
magnetization: 0.000 μB/cell
raw formation energy: 0.952 eV per atom
final energy: -2.78 eV/atom

abc: 4.6183 4.6183 4.6183
angles: 90.00 90.00 90.00
Closest atoms and distances in Å follow each position.
Element x y z (fractional)
1 Be 0.0000 0.0000 0.5000  2 Sn 2.31
2 Be 0.0000 0.5000 0.0000  2 Sn 2.31
3 Be 0.5000 0.0000 0.0000  2 Sn 2.31
4 Sn 0.0000 0.0000 0.0000  6 Be 2.31
5 Se 0.5000 0.5000 0.5000  12 Be 3.27

Material: BeHg
Method: DFT, PBE-GGA
State: relaxed

Properties
SG: P-3m1, No. 164
magnetization: 0.000 μB/cell
formation energy from the elements: 0.536 eV/atom
final energy: -1.48 eV/atom

abc: 3.0477 3.0477 8.1843
angles: 90.00 90.00 120.00
Closest atoms and distances in Å follow each position.
Element x y z (fractional)
1 Be 0.3333 0.6667 0.0879  3 Be 2.27
2 Be 0.6667 0.3333 0.9121  3 Be 2.27
3 Hg 0.3333 0.6667 0.6718  3 Be 2.64
4 Hg 0.6667 0.3333 0.3282  3 Be 2.64

Material: Y2Hg3Pd2
Method: DFT, PBE-GGA
State: relaxed

Properties
SG: C2/m, No. 12
magnetization: 0.000 μB/cell
formation energy from the elements: -0.582 eV/atom
final energy: -4.04 eV/atom

abc: 5.3873 5.3873 7.4500
angles: 107.14 107.14 49.09
Closest atoms and distances in Å follow each position.
Element x y z (fractional)
1 Y 0.1381 0.1381 0.2780  4 Pd 2.96-3.00, 1 Hg 3.22
2 Y 0.8619 0.8619 0.7220  4 Pd 2.96-3.00, 1 Hg 3.22
3 Hg 0.3722 0.3722 0.0590  3 Pd 2.87-3.00, 4 Hg 2.91-3.19, 1 Y 3.22
4 Hg 0.5000 0.5000 0.5000  4 Pd 2.82, 2 Hg 3.11
5 Hg 0.6278 0.6278 0.9410  3 Pd 2.87-3.00, 4 Hg 2.91-3.19, 1 Y 3.22
6 Pd 0.1582 0.1582 0.6889  5 Hg 2.82-3.00, 4 Y 2.96-3.00
7 Pd 0.8418 0.8418 0.3111  5 Hg 2.82-3.00, 4 Y 2.96-3.00

Material: VP2SBr
Method: DFT, PBE-GGA
State: relaxed

Properties
SG: P4/mmm, No. 123
magnetization: 0.000 μB/cell
raw formation energy: 0.202 eV per atom
final energy: -4.95 eV/atom

abc: 4.6800 4.6800 4.4097
angles: 90.00 90.00 90.00
Closest atoms and distances in Å follow each position.
Element x y z (fractional)
1 V 0.0000 0.0000 0.0000  2 S 2.20, 4 P 2.34
2 P 0.0000 0.5000 0.0000  2 V 2.34
3 P 0.5000 0.0000 0.0000  2 V 2.34
4 S 0.0000 0.0000 0.5000  2 V 2.20
5 Br 0.5000 0.5000 0.5000  8 P 3.22, 4 S 3.31